Below is a relaxed Ta3CdMo crystal, with properties calculated at the PBE level.

Summary:
Relative energy among the computed polymorphs in meV per atom: 1170.5
Crystal system: cubic
Formation energy from the elements in eV per formula unit: 12.446
N(E_F) in states/eV/cell: 6.06
V in Å³/cell: 116
Final energy in eV per atom: -6.97

a = 4.882 Å, b = 4.882 Å, c = 4.882 Å
α = 90.00°, β = 90.00°, γ = 90.00°
Sites, in units of the cell vectors:
Ta1 0.000 0.000 0.500
Ta2 0.000 0.500 0.000
Ta3 0.500 0.000 0.000
Cd1 0.000 0.000 0.000
Mo1 0.500 0.500 0.500



Below is a relaxed Li2ScFe crystal, with properties calculated at the PBE level.

Summary:
Relative energy among the computed polymorphs in meV per atom: 198.2
Crystal system: tetragonal
Formation energy from the elements in eV per formula unit: 1.493
N(E_F) in states/eV/cell: 3.13
V in Å³/cell: 65
Final energy in eV per atom: -4.28

a = 3.425 Å, b = 3.425 Å, c = 5.532 Å
α = 90.00°, β = 90.00°, γ = 90.00°
Sites, in units of the cell vectors:
Li1 0.000 0.000 0.210
Li2 0.000 0.000 0.790
Sc1 0.500 0.500 0.500
Fe1 0.500 0.500 0.000



Below is a relaxed Er2ScO4 crystal, with properties calculated at the PBE level.

Summary:
Crystal system: monoclinic
N(E_F) in states/eV/cell: 3.32
V in Å³/cell: 191
Final energy in eV per atom: -8.30
Formation energy (no corrections) in eV/atom: -3.255

a = 11.324 Å, b = 3.324 Å, c = 5.785 Å
α = 90.00°, β = 118.55°, γ = 90.00°
Sites, in units of the cell vectors:
Er1 0.201 0.000 0.202
Er2 0.299 0.500 0.798
Er3 0.701 0.500 0.202
Er4 0.799 0.000 0.798
Sc1 0.000 0.500 0.500
Sc2 0.500 0.000 0.500
O1 0.125 0.500 0.916
O2 0.143 0.000 0.520
O3 0.357 0.500 0.480
O4 0.375 0.000 0.084
O5 0.625 0.000 0.916
O6 0.643 0.500 0.520
O7 0.857 0.000 0.480
O8 0.875 0.500 0.084



Below is a relaxed LiHg2Rh crystal, with properties calculated at the PBE level.

Summary:
Crystal system: monoclinic
Formation energy from the elements in eV per formula unit: -0.105
N(E_F) in states/eV/cell: 3.68
V in Å³/cell: 148
Final energy in eV per atom: -2.49

a = 8.871 Å, b = 3.136 Å, c = 5.397 Å
α = 90.00°, β = 100.47°, γ = 90.00°
Sites, in units of the cell vectors:
Li1 0.000 0.000 0.000
Li2 0.500 0.500 0.000
Hg1 0.244 0.000 0.748
Hg2 0.256 0.500 0.252
Hg3 0.744 0.500 0.748
Hg4 0.756 0.000 0.252
Rh1 0.000 0.500 0.500
Rh2 0.500 0.000 0.500